[1]
Here is a PBEsol-optimized structure of Al2MoOs from Alexandria via LeMat-Bulk. Energies are from meta-GGA SCAN.

VASP energy   -30.9408 eV/atom
Calculated volume   56.8 Å³ per cell
Space group   P4/mmm

abc: 2.950 2.950 6.523
angles: 90.00 90.00 90.00
Element x y z (fractional)
Mo 0.500 0.500 0.000
Os 0.500 0.500 0.500
Al 0.000 0.000 0.724
Al 0.000 0.000 0.276

***

[2]
Here is a PBEsol-optimized structure of Be2InSb from Alexandria via LeMat-Bulk. Energies are from meta-GGA SCAN.

ΔE_f (raw)   0.65 eV per atom
VASP energy   -19.1860 eV/atom
Calculated volume   72.3 Å³ per cell
Space group   P4/mmm

abc: 3.458 3.458 6.046
angles: 90.00 90.00 90.00
Element x y z (fractional)
Sb 0.500 0.500 0.500
Be 0.000 0.000 0.685
Be 0.000 0.000 0.315
In 0.500 0.500 0.000

***

[3]
Here is a PBEsol-optimized structure of Cs4CuSi2O7 from Alexandria via LeMat-Bulk. Energies are from meta-GGA SCAN.

ΔE_f (raw)   -2.28 eV per atom
VASP energy   -18.7106 eV/atom
Calculated volume   284.8 Å³ per cell
Space group   P-1

abc: 6.474 7.454 7.495
angles: 106.82 110.54 109.09
Element x y z (fractional)
Cs 0.285 0.766 0.226
Cs 0.715 0.234 0.774
Cs 0.602 0.368 0.276
Cs 0.398 0.632 0.724
Cu 0.000 0.000 0.500
Si 0.991 0.861 0.776
Si 0.009 0.139 0.224
O 0.767 0.994 0.240
O 0.962 0.634 0.764
O 0.233 0.006 0.760
O 0.242 0.158 0.430
O 0.758 0.842 0.570
O 0.038 0.366 0.236
O 0.000 0.000 0.000

***

[4]
Here is a PBEsol-optimized structure of NdB4Rh4 from Alexandria via LeMat-Bulk. Energies are from meta-GGA SCAN.

VASP energy   -23.7954 eV/atom
Calculated volume   209.7 Å³ per cell
Space group   P4_2/nmc

abc: 5.310 5.310 7.439
angles: 90.00 90.00 90.00
Element x y z (fractional)
Nd 0.000 0.000 0.000
Nd 0.500 0.500 0.500
B 0.500 0.830 0.847
B 0.500 0.170 0.847
B 0.830 0.500 0.153
B 0.170 0.500 0.153
B 0.330 0.000 0.347
B 0.670 0.000 0.347
B 0.000 0.330 0.653
B 0.000 0.670 0.653
Rh 0.251 0.500 0.858
Rh 0.749 0.500 0.858
Rh 0.500 0.749 0.142
Rh 0.500 0.251 0.142
Rh 0.000 0.751 0.358
Rh 0.000 0.249 0.358
Rh 0.249 0.000 0.642
Rh 0.751 0.000 0.642

***

[5]
Here is a PBEsol-optimized structure of K2AuCl from Alexandria via LeMat-Bulk. Energies are from meta-GGA SCAN.

ΔE_f (raw)   -1.21 eV per atom
VASP energy   -24.6611 eV/atom
Calculated volume   120.3 Å³ per cell
Space group   Amm2

abc: 3.960 5.125 6.250
angles: 90.00 108.47 90.00
Element x y z (fractional)
K 0.005 0.500 0.009
K 0.244 0.000 0.488
Au 0.514 0.000 0.027
Cl 0.737 0.500 0.475

***

[6]
Here is a PBEsol-optimized structure of Ta2HgSe from Alexandria via LeMat-Bulk. Energies are from meta-GGA SCAN.

ΔE_f (raw)   0.53 eV per atom
VASP energy   -54.8179 eV/atom
Calculated volume   72.5 Å³ per cell
Space group   I-4m2

abc: 3.994 3.994 5.350
angles: 111.92 111.92 90.00
Element x y z (fractional)
Hg 0.500 0.500 0.000
Se 0.250 0.750 0.500
Ta 0.000 0.000 0.000
Ta 0.750 0.250 0.500

***

[7]
Here is a PBEsol-optimized structure of SrTc2Ir from Alexandria via LeMat-Bulk. Energies are from meta-GGA SCAN.

VASP energy   -40.0111 eV/atom
Calculated volume   67.6 Å³ per cell
Space group   Pmmm

abc: 2.895 4.770 4.894
angles: 90.00 90.00 90.00
Element x y z (fractional)
Ir 0.500 0.000 0.500
Sr 0.000 0.500 0.500
Tc 0.000 0.000 0.000
Tc 0.500 0.500 0.000

***

[8]
Here is a PBEsol-optimized structure of Tl2TeH from Alexandria via LeMat-Bulk. Energies are from meta-GGA SCAN.

VASP energy   -46.0633 eV/atom
Calculated volume   98.9 Å³ per cell
Space group   Fm-3m

abc: 5.191 5.191 5.191
angles: 60.00 60.00 60.00
Element x y z (fractional)
H 0.000 0.000 0.000
Tl 0.250 0.250 0.250
Tl 0.750 0.750 0.750
Te 0.500 0.500 0.500

***

[9]
Here is a PBEsol-optimized structure of BeAl2 from Alexandria via LeMat-Bulk. Energies are from meta-GGA SCAN.

VASP energy   -6.5331 eV/atom
Calculated volume   44.4 Å³ per cell
Space group   Fm-3m

abc: 3.976 3.976 3.976
angles: 60.00 60.00 60.00
Element x y z (fractional)
Be 0.000 0.000 0.000
Al 0.750 0.750 0.750
Al 0.250 0.250 0.250

***

[10]
Here is a PBEsol-optimized structure of KCu2Pd2 from Alexandria via LeMat-Bulk. Energies are from meta-GGA SCAN.

VASP energy   -20.6612 eV/atom
Calculated volume   89.6 Å³ per cell
Space group   I4/mmm

abc: 4.144 4.144 5.982
angles: 110.27 110.27 90.00
Element x y z (fractional)
K 0.000 0.000 0.000
Cu 0.385 0.385 0.770
Cu 0.615 0.615 0.230
Pd 0.250 0.750 0.500
Pd 0.750 0.250 0.500

***

[11]
Here is a PBEsol-optimized structure of ReSnTe2I from Alexandria via LeMat-Bulk. Energies are from meta-GGA SCAN.

ΔE_f (raw)   0.72 eV per atom
VASP energy   -42.9281 eV/atom
Calculated volume   146.1 Å³ per cell
Space group   P4/mmm

abc: 5.120 5.120 5.574
angles: 90.00 90.00 90.00
Element x y z (fractional)
I 0.000 0.000 0.500
Re 0.000 0.000 0.000
Te 0.000 0.500 0.000
Te 0.500 0.000 0.000
Sn 0.500 0.500 0.500

***

[12]
Here is a PBEsol-optimized structure of KSrBP2O8 from Alexandria via LeMat-Bulk. Energies are from meta-GGA SCAN.

ΔE_f (raw)   -2.79 eV per atom
VASP energy   -11.1542 eV/atom
Calculated volume   355.4 Å³ per cell
Space group   Cc

abc: 7.080 7.080 8.446
angles: 67.47 67.47 90.33
Element x y z (fractional)
K 0.539 0.374 0.226
K 0.374 0.539 0.726
Sr 0.243 0.852 0.248
Sr 0.852 0.243 0.748
B 0.720 0.021 0.507
B 0.021 0.720 0.007
P 0.048 0.351 0.260
P 0.730 0.873 0.240
P 0.351 0.048 0.760
P 0.873 0.730 0.740
O 0.123 0.476 0.343
O 0.184 0.200 0.215
O 0.541 0.706 0.322
O 0.715 0.079 0.101
O 0.200 0.184 0.715
O 0.706 0.541 0.822
O 0.079 0.715 0.601
O 0.476 0.123 0.843
O 0.815 0.242 0.402
O 0.017 0.496 0.078
O 0.776 0.895 0.401
O 0.939 0.795 0.156
O 0.496 0.017 0.578
O 0.895 0.776 0.901
O 0.795 0.939 0.656
O 0.242 0.815 0.902

***

[13]
Here is a PBEsol-optimized structure of Ce3AlC from Alexandria via LeMat-Bulk. Energies are from meta-GGA SCAN.

VASP energy   -30.6007 eV/atom
Calculated volume   114.2 Å³ per cell
Space group   Pm-3m

abc: 4.851 4.851 4.851
angles: 90.00 90.00 90.00
Element x y z (fractional)
Ce 0.000 0.500 0.500
Ce 0.500 0.000 0.500
Ce 0.500 0.500 0.000
Al 0.000 0.000 0.000
C 0.500 0.500 0.500

***

[14]
Here is a PBEsol-optimized structure of FeAgBr2 from Alexandria via LeMat-Bulk. Energies are from meta-GGA SCAN.

ΔE_f (raw)   0.01 eV per atom
VASP energy   -22.0957 eV/atom
Calculated volume   83.4 Å³ per cell
Space group   P4mm

abc: 3.454 3.454 6.996
angles: 90.00 90.00 90.00
Element x y z (fractional)
Ag 0.500 0.500 0.725
Br 0.000 0.000 0.912
Br 0.500 0.500 0.332
Fe 0.000 0.000 0.530

***

[15]
Here is a PBEsol-optimized structure of La2SnI from Alexandria via LeMat-Bulk. Energies are from meta-GGA SCAN.

ΔE_f (raw)   -0.98 eV per atom
VASP energy   -40.7001 eV/atom
Calculated volume   119.9 Å³ per cell
Space group   Fm-3m

abc: 5.534 5.534 5.534
angles: 60.00 60.00 60.00
Element x y z (fractional)
I 0.500 0.500 0.500
Sn 0.000 0.000 0.000
La 0.250 0.250 0.250
La 0.750 0.750 0.750

***

[16]
Here is a PBEsol-optimized structure of As2RuCl from Alexandria via LeMat-Bulk. Energies are from meta-GGA SCAN.

ΔE_f (raw)   0.10 eV per atom
VASP energy   -20.6966 eV/atom
Calculated volume   199.2 Å³ per cell
Space group   I-42d

abc: 5.952 5.952 7.024
angles: 115.06 115.06 90.00
Element x y z (fractional)
Ru 0.250 0.750 0.500
Ru 0.000 0.000 0.000
As 0.293 0.875 0.250
As 0.957 0.375 0.250
As 0.125 0.043 0.750
As 0.625 0.707 0.750
Cl 0.750 0.250 0.500
Cl 0.500 0.500 0.000

***

[17]
Here is a PBEsol-optimized structure of BaCrP from Alexandria via LeMat-Bulk. Energies are from meta-GGA SCAN.

VASP energy   -23.4571 eV/atom
Calculated volume   74.5 Å³ per cell
Space group   P-6m2

abc: 4.240 4.240 4.786
angles: 90.00 90.00 120.00
Element x y z (fractional)
Ba 0.000 0.000 0.000
Cr 0.333 0.667 0.500
P 0.667 0.333 0.500

***

[18]
Here is a PBEsol-optimized structure of Cd2TeP from Alexandria via LeMat-Bulk. Energies are from meta-GGA SCAN.

ΔE_f (raw)   0.40 eV per atom
VASP energy   -26.7216 eV/atom
Calculated volume   87.4 Å³ per cell
Space group   Fm-3m

abc: 4.980 4.980 4.980
angles: 60.00 60.00 60.00
Element x y z (fractional)
Cd 0.250 0.250 0.250
Cd 0.750 0.750 0.750
P 0.000 0.000 0.000
Te 0.500 0.500 0.500

***

[19]
Here is a PBEsol-optimized structure of Ba5Bi3 from Alexandria via LeMat-Bulk. Energies are from meta-GGA SCAN.

VASP energy   -55.2144 eV/atom
Calculated volume   694.6 Å³ per cell
Space group   P6_3/mcm

abc: 7.773 10.158 10.158
angles: 120.00 90.00 90.00
Element x y z (fractional)
Ba 0.500 0.333 0.667
Ba 0.000 0.667 0.333
Ba 0.500 0.667 0.333
Ba 0.000 0.333 0.667
Ba 0.250 0.000 0.255
Ba 0.750 0.255 0.255
Ba 0.750 0.745 0.000
Ba 0.250 0.255 0.000
Ba 0.250 0.745 0.745
Ba 0.750 0.000 0.745
Bi 0.250 0.000 0.609
Bi 0.750 0.609 0.609
Bi 0.750 0.391 0.000
Bi 0.250 0.609 0.000
Bi 0.250 0.391 0.391
Bi 0.750 0.000 0.391

***

[20]
Here is a PBEsol-optimized structure of LaIr2 from Alexandria via LeMat-Bulk. Energies are from meta-GGA SCAN.

VASP energy   -61.0772 eV/atom
Calculated volume   64.9 Å³ per cell
Space group   Fm-3m

abc: 4.511 4.511 4.511
angles: 60.00 60.00 60.00
Element x y z (fractional)
Ir 0.750 0.750 0.750
Ir 0.250 0.250 0.250
La 0.000 0.000 0.000

***

[21]
Here is a PBEsol-optimized structure of CoOs2Se from Alexandria via LeMat-Bulk. Energies are from meta-GGA SCAN.

ΔE_f (raw)   0.81 eV per atom
VASP energy   -44.4729 eV/atom
Calculated volume   55.5 Å³ per cell
Space group   Pmmm

abc: 2.749 4.495 4.489
angles: 90.00 90.00 90.00
Element x y z (fractional)
Co 0.000 0.500 0.500
Os 0.000 0.000 0.000
Os 0.500 0.500 0.000
Se 0.500 0.000 0.500

***

[22]
Here is a PBEsol-optimized structure of Zn2SiW from Alexandria via LeMat-Bulk. Energies are from meta-GGA SCAN.

ΔE_f (raw)   0.39 eV per atom
VASP energy   -26.2935 eV/atom
Calculated volume   58.7 Å³ per cell
Space group   P4/mmm

abc: 2.658 2.658 8.308
angles: 90.00 90.00 90.00
Element x y z (fractional)
Si 0.500 0.500 0.000
W 0.500 0.500 0.500
Zn 0.000 0.000 0.747
Zn 0.000 0.000 0.253

***

[23]
Here is a PBEsol-optimized structure of ZrAuCl4 from Alexandria via LeMat-Bulk. Energies are from meta-GGA SCAN.

ΔE_f (raw)   0.33 eV per atom
VASP energy   -21.6295 eV/atom
Calculated volume   115.7 Å³ per cell
Space group   F-43m

abc: 5.470 5.470 5.470
angles: 60.00 60.00 60.00
Element x y z (fractional)
Au 0.000 0.000 0.000
Cl 0.375 0.375 0.375
Cl 0.375 0.375 0.875
Cl 0.875 0.375 0.375
Cl 0.375 0.875 0.375
Zr 0.750 0.750 0.750

***

[24]
Here is a PBEsol-optimized structure of ZrTlIr2 from Alexandria via LeMat-Bulk. Energies are from meta-GGA SCAN.

VASP energy   -61.5558 eV/atom
Calculated volume   74.0 Å³ per cell
Space group   Amm2

abc: 3.582 4.147 5.296
angles: 90.00 109.77 90.00
Element x y z (fractional)
Ir 0.205 0.000 0.411
Ir 0.045 0.500 0.091
Tl 0.474 0.000 0.947
Zr 0.763 0.500 0.525

***

[25]
Here is a PBEsol-optimized structure of TaOs2Ru from Alexandria via LeMat-Bulk. Energies are from meta-GGA SCAN.

VASP energy   -61.4384 eV/atom
Calculated volume   58.5 Å³ per cell
Space group   I-4m2

abc: 3.878 3.878 4.760
angles: 114.04 114.04 90.00
Element x y z (fractional)
Ru 0.500 0.500 0.000
Os 0.000 0.000 0.000
Os 0.250 0.750 0.500
Ta 0.750 0.250 0.500

***

[26]
Here is a PBEsol-optimized structure of TcNi2Pt from Alexandria via LeMat-Bulk. Energies are from meta-GGA SCAN.

VASP energy   -34.3824 eV/atom
Calculated volume   49.7 Å³ per cell
Space group   P4/mmm

abc: 3.525 3.754 3.754
angles: 90.00 90.00 90.00
Element x y z (fractional)
Ni 0.000 0.000 0.500
Ni 0.000 0.500 0.000
Pt 0.500 0.500 0.500
Tc 0.500 0.000 0.000

***

[27]
Here is a PBEsol-optimized structure of Be2CdBr from Alexandria via LeMat-Bulk. Energies are from meta-GGA SCAN.

ΔE_f (raw)   0.65 eV per atom
VASP energy   -13.9982 eV/atom
Calculated volume   70.5 Å³ per cell
Space group   Immm

abc: 3.104 5.112 5.112
angles: 69.18 72.33 72.33
Element x y z (fractional)
Be 0.260 0.740 0.740
Be 0.740 0.260 0.260
Br 0.000 0.500 0.500
Cd 0.500 0.000 0.000